1.
Material: Na2Ga10Pb
Method: DFT, GGA-PBE
State: optimized geometry

Values from the calculation:
- crystal system = orthorhombic
- total magnetic moment (μB per atom) = 0.000
- VASP energy (eV per formula unit) = -36.209
- formation energy (eV/atom) = 0.031

CIF file:
```
data_Na2Ga10Pb
_chemical_formula_sum 'Na4 Ga20 Pb2'
_cell_length_a 5.643
_cell_length_b 6.049
_cell_length_c 19.072
_cell_angle_alpha 90.00
_cell_angle_beta 90.00
_cell_angle_gamma 90.00
_space_group_name_H-M_alt 'P 1'
_space_group_IT_number 1
_space_group_name_Hall 'P 1'
loop_
_atom_site_label
_atom_site_type_symbol
_atom_site_fract_x
_atom_site_fract_y
_atom_site_fract_z
_atom_site_occupancy
Ga1 Ga 0.000 0.034 0.569 1
Ga2 Ga 0.000 0.972 0.276 1
Ga3 Ga 0.272 0.185 0.146 1
Ga4 Ga 0.000 0.528 0.776 1
Ga5 Ga 0.272 0.315 0.646 1
Ga6 Ga 0.000 0.668 0.647 1
Ga7 Ga 0.000 0.168 0.853 1
Ga8 Ga 0.728 0.315 0.646 1
Ga9 Ga 0.728 0.685 0.354 1
Ga10 Ga 0.272 0.685 0.354 1
Ga11 Ga 0.000 0.332 0.353 1
Ga12 Ga 0.728 0.815 0.854 1
Ga13 Ga 0.000 0.966 0.431 1
Ga14 Ga 0.000 0.534 0.931 1
Ga15 Ga 0.000 0.028 0.724 1
Ga16 Ga 0.000 0.832 0.147 1
Ga17 Ga 0.000 0.466 0.069 1
Ga18 Ga 0.728 0.185 0.146 1
Ga19 Ga 0.272 0.815 0.854 1
Ga20 Ga 0.000 0.472 0.224 1
Pb1 Pb 0.000 0.000 0.000 1
Pb2 Pb 0.000 0.500 0.500 1
Na1 Na 0.500 0.191 0.407 1
Na2 Na 0.500 0.691 0.093 1
Na3 Na 0.500 0.309 0.907 1
Na4 Na 0.500 0.809 0.593 1
```

---

2.
Material: Na3Ga2Pb4
Method: DFT, GGA-PBE
State: optimized geometry

Values from the calculation:
- crystal system = monoclinic
- total magnetic moment (μB per atom) = 0.000
- VASP energy (eV per formula unit) = -25.347
- formation energy (eV/atom) = -0.056

CIF file:
```
data_Na3Ga2Pb4
_chemical_formula_sum 'Na6 Ga4 Pb8'
_cell_length_a 8.582
_cell_length_b 7.667
_cell_length_c 7.667
_cell_angle_alpha 96.19
_cell_angle_beta 82.67
_cell_angle_gamma 82.67
_space_group_name_H-M_alt 'P 1'
_space_group_IT_number 1
_space_group_name_Hall 'P 1'
loop_
_atom_site_label
_atom_site_type_symbol
_atom_site_fract_x
_atom_site_fract_y
_atom_site_fract_z
_atom_site_occupancy
Na1 Na 0.248 0.967 0.690 1
Na2 Na 0.750 0.387 0.613 1
Na3 Na 0.250 0.613 0.387 1
Na4 Na 0.752 0.033 0.310 1
Na5 Na 0.252 0.310 0.033 1
Na6 Na 0.748 0.690 0.967 1
Ga1 Ga 0.593 0.731 0.474 1
Ga2 Ga 0.093 0.474 0.731 1
Ga3 Ga 0.907 0.526 0.269 1
Ga4 Ga 0.407 0.269 0.526 1
Pb1 Pb 0.585 0.064 0.803 1
Pb2 Pb 0.913 0.814 0.600 1
Pb3 Pb 0.415 0.936 0.197 1
Pb4 Pb 0.087 0.186 0.400 1
Pb5 Pb 0.587 0.400 0.186 1
Pb6 Pb 0.085 0.803 0.064 1
Pb7 Pb 0.915 0.197 0.936 1
Pb8 Pb 0.413 0.600 0.814 1
```

---

3.
Material: Na2GaPb2
Method: DFT, GGA-PBE
State: optimized geometry

Values from the calculation:
- crystal system = tetragonal
- total magnetic moment (μB per atom) = 0.000
- VASP energy (eV per formula unit) = -12.373
- formation energy (eV/atom) = 0.142

CIF file:
```
data_Na2GaPb2
_chemical_formula_sum 'Na2 Ga1 Pb2'
_cell_length_a 4.200
_cell_length_b 4.200
_cell_length_c 8.728
_cell_angle_alpha 76.08
_cell_angle_beta 76.08
_cell_angle_gamma 90.00
_space_group_name_H-M_alt 'P 1'
_space_group_IT_number 1
_space_group_name_Hall 'P 1'
loop_
_atom_site_label
_atom_site_type_symbol
_atom_site_fract_x
_atom_site_fract_y
_atom_site_fract_z
_atom_site_occupancy
Pb1 Pb 0.593 0.593 0.813 1
Pb2 Pb 0.407 0.407 0.187 1
Na1 Na 0.250 0.750 0.500 1
Na2 Na 0.750 0.250 0.500 1
Ga1 Ga 0.000 0.000 0.000 1
```

---

Q: What is the total magnetic moment in the first record?
A: 0.000 μB per atom

---

Q: Among the records above, which one has the lowest formation energy?
A: Na3Ga2Pb4

---

Q: What is the formula in the third record?
A: Na2GaPb2

---

Q: Among the records above, which one has the highest VASP energy?
A: Na2GaPb2